Here is a relaxed structure of Ba3ErGe2O8 from the Alexandria database. Energies are from PBE-GGA.

CIF file:
```
data_Ba3ErGe2O8
_chemical_formula_sum 'Ba3 Er1 Ge2 O8'
_space_group_name_H-M_alt 'P -3 m 1'
_space_group_IT_number 164
_space_group_name_Hall '-P 3 2"'
_cell_length_a 6.0088
_cell_length_b 6.0088
_cell_length_c 7.6823
_cell_angle_alpha 90.00
_cell_angle_beta 90.00
_cell_angle_gamma 120.00
loop_
_atom_site_label
_atom_site_type_symbol
_atom_site_fract_x
_atom_site_fract_y
_atom_site_fract_z
_atom_site_occupancy
Ba1 Ba 0.0000 0.0000 0.0000 1
Ba2 Ba 0.3333 0.6667 0.6665 1
Er1 Er 0.0000 0.0000 0.5000 1
Ge1 Ge 0.3333 0.6667 0.2204 1
O1 O 0.1718 0.3436 0.3238 1
O2 O 0.3333 0.6667 0.9908 1
```

energy relative to the elements, uncorrected	-2.421	eV per atom
Fermi-level density of states	3.227	states/eV/cell

***

Here is a relaxed structure of Ba2ErGe3Pt4 from the Alexandria database. Energies are from PBE-GGA.

CIF file:
```
data_Ba2ErGe3Pt4
_chemical_formula_sum 'Ba2 Er1 Ge3 Pt4'
_space_group_name_H-M_alt 'P -4 m 2'
_space_group_IT_number 115
_cell_length_a 4.5302
_cell_length_b 4.5302
_cell_length_c 10.9745
_cell_angle_alpha 90.00
_cell_angle_beta 90.00
_cell_angle_gamma 90.00
loop_
_space_group_symop_operation_xyz
'x,y,z'
'y,-x,-z'
'-x,-y,z'
'-y,x,-z'
'-x,y,z'
'-y,-x,-z'
'x,-y,z'
'y,x,-z'
loop_
_atom_site_label
_atom_site_type_symbol
_atom_site_fract_x
_atom_site_fract_y
_atom_site_fract_z
_atom_site_occupancy
Ba1 Ba 0.0000 0.5000 0.2361 1
Er1 Er 0.0000 0.0000 0.5000 1
Ge1 Ge 0.0000 0.5000 0.8852 1
Ge2 Ge 0.5000 0.5000 0.5000 1
Pt1 Pt 0.0000 0.0000 0.0000 1
Pt2 Pt 0.0000 0.5000 0.6473 1
Pt3 Pt 0.5000 0.5000 0.0000 1
```

formation energy from the elements	-0.832	eV/atom
Fermi-level density of states	4.677	states/eV/cell

***

Here is a relaxed structure of Ba2ErGeSe5 from the Alexandria database. Energies are from PBE-GGA.

CIF file:
```
data_Ba2ErGeSe5
_chemical_formula_sum 'Ba8 Er4 Ge4 Se20'
_space_group_name_H-M_alt 'C m c 21'
_space_group_IT_number 36
_cell_length_a 4.4626
_cell_length_b 18.8074
_cell_length_c 13.1378
_cell_angle_alpha 90.00
_cell_angle_beta 90.00
_cell_angle_gamma 90.00
loop_
_space_group_symop_operation_xyz
'x,y,z'
'-x,-y,z+1/2'
'-x,y,z'
'x,-y,z+1/2'
'x+1/2,y+1/2,z'
'-x+1/2,-y+1/2,z+1/2'
'-x+1/2,y+1/2,z'
'x+1/2,-y+1/2,z+1/2'
loop_
_atom_site_label
_atom_site_type_symbol
_atom_site_fract_x
_atom_site_fract_y
_atom_site_fract_z
_atom_site_occupancy
Ba1 Ba 0.0000 0.1214 0.0000 1
Ba2 Ba 0.0000 0.1255 0.6382 1
Er1 Er 0.0000 0.2051 0.3390 1
Ge1 Ge 0.0000 0.4422 0.7517 1
Se1 Se 0.0000 0.0459 0.3382 1
Se2 Se 0.0000 0.2985 0.9762 1
Se3 Se 0.0000 0.3146 0.6896 1
Se4 Se 0.0000 0.3501 0.3206 1
Se5 Se 0.0000 0.4993 0.5861 1
```

energy relative to the elements, uncorrected	-1.532	eV per atom
Fermi-level density of states	5.365	states/eV/cell

***

Here is a relaxed structure of Ba2Li3ErH12 from the Alexandria database. Energies are from PBE-GGA.

CIF file:
```
data_Ba2Li3ErH12
_chemical_formula_sum 'Ba6 Li9 Er3 H36'
_space_group_name_H-M_alt 'R -3 m'
_space_group_IT_number 166
_space_group_name_Hall '-R 3 2"'
_cell_length_a 6.6723
_cell_length_b 6.6723
_cell_length_c 15.8996
_cell_angle_alpha 90.00
_cell_angle_beta 90.00
_cell_angle_gamma 120.00
loop_
_atom_site_label
_atom_site_type_symbol
_atom_site_fract_x
_atom_site_fract_y
_atom_site_fract_z
_atom_site_occupancy
Ba1 Ba 0.0000 0.0000 0.1060 1
Li1 Li 0.0000 0.5000 0.0000 1
Er1 Er 0.0000 0.0000 0.5000 1
H1 H 0.0200 0.5100 0.8801 1
H2 H 0.0769 0.5384 0.2867 1
```

total DFT energy (no corrections)	-3.220	eV/atom
Fermi-level density of states	11.663	states/eV/cell

***

Here is a relaxed structure of Ba2ErMg3H12 from the Alexandria database. Energies are from PBE-GGA.

CIF file:
```
data_Ba2ErMg3H12
_chemical_formula_sum 'Ba6 Er3 Mg9 H36'
_space_group_name_H-M_alt 'R -3 m'
_space_group_IT_number 166
_space_group_name_Hall '-R 3 2"'
_cell_length_a 6.9245
_cell_length_b 6.9245
_cell_length_c 16.3059
_cell_angle_alpha 90.00
_cell_angle_beta 90.00
_cell_angle_gamma 120.00
loop_
_atom_site_label
_atom_site_type_symbol
_atom_site_fract_x
_atom_site_fract_y
_atom_site_fract_z
_atom_site_occupancy
Ba1 Ba 0.0000 0.0000 0.1140 1
Er1 Er 0.0000 0.0000 0.5000 1
Mg1 Mg 0.0000 0.5000 0.0000 1
H1 H 0.0201 0.5100 0.8801 1
H2 H 0.0709 0.5355 0.3005 1
```

total DFT energy (no corrections)	-3.269	eV/atom
Fermi-level density of states	14.360	states/eV/cell

***

Here is a relaxed structure of Ba3ErHf2O9 from the Alexandria database. Energies are from PBE-GGA.

CIF file:
```
data_Ba3ErHf2O9
_chemical_formula_sum 'Ba3 Er1 Hf2 O9'
_space_group_name_H-M_alt 'P -3 m 1'
_space_group_IT_number 164
_space_group_name_Hall '-P 3 2"'
_cell_length_a 6.0447
_cell_length_b 6.0447
_cell_length_c 7.4152
_cell_angle_alpha 90.00
_cell_angle_beta 90.00
_cell_angle_gamma 120.00
loop_
_atom_site_label
_atom_site_type_symbol
_atom_site_fract_x
_atom_site_fract_y
_atom_site_fract_z
_atom_site_occupancy
Ba1 Ba 0.0000 0.0000 0.0000 1
Ba2 Ba 0.3333 0.6667 0.6651 1
Er1 Er 0.0000 0.0000 0.5000 1
Hf1 Hf 0.3333 0.6667 0.1636 1
O1 O 0.0000 0.5000 0.0000 1
O2 O 0.1723 0.3447 0.3242 1
```

energy relative to the elements, uncorrected	-3.175	eV per atom
Fermi-level density of states	11.244	states/eV/cell

***

Here is a relaxed structure of Ba2ErHfS6 from the Alexandria database. Energies are from PBE-GGA.

CIF file:
```
data_Ba2ErHfS6
_chemical_formula_sum 'Ba4 Er2 Hf2 S12'
_space_group_name_H-M_alt 'P m m n'
_space_group_IT_number 59
_cell_length_a 7.2398
_cell_length_b 10.2356
_cell_length_c 7.2399
_cell_angle_alpha 90.00
_cell_angle_beta 90.00
_cell_angle_gamma 90.00
loop_
_space_group_symop_operation_xyz
'x,y,z'
'-x,-y,-z'
'-x+1/2,-y+1/2,z'
'x+1/2,y+1/2,-z'
'x+1/2,-y,-z'
'-x+1/2,y,z'
'-x,y+1/2,-z'
'x,-y+1/2,z'
loop_
_atom_site_label
_atom_site_type_symbol
_atom_site_fract_x
_atom_site_fract_y
_atom_site_fract_z
_atom_site_occupancy
Ba1 Ba 0.2500 0.0004 0.2492 1
Er1 Er 0.2500 0.2500 0.7491 1
Hf1 Hf 0.2500 0.7500 0.7508 1
S1 S 0.0056 0.7500 0.5073 1
S2 S 0.0064 0.7500 0.9954 1
S3 S 0.2500 0.5060 0.7506 1
```

energy relative to the elements, uncorrected	-1.774	eV per atom
Fermi-level density of states	11.947	states/eV/cell

***

Here is a relaxed structure of BaEr2Hg3 from the Alexandria database. Energies are from PBE-GGA.

CIF file:
```
data_BaEr2Hg3
_chemical_formula_sum 'Ba1 Er2 Hg3'
_space_group_name_H-M_alt 'P 4/m m m'
_space_group_IT_number 123
_space_group_name_Hall '-P 4 2'
_cell_length_a 3.7997
_cell_length_b 3.7997
_cell_length_c 11.7762
_cell_angle_alpha 90.00
_cell_angle_beta 90.00
_cell_angle_gamma 90.00
loop_
_atom_site_label
_atom_site_type_symbol
_atom_site_fract_x
_atom_site_fract_y
_atom_site_fract_z
_atom_site_occupancy
Ba1 Ba 0.0000 0.0000 0.0000 1
Er1 Er 0.0000 0.0000 0.3464 1
Hg1 Hg 0.5000 0.5000 0.2063 1
Hg2 Hg 0.5000 0.5000 0.5000 1
```

formation energy from the elements	-0.471	eV/atom
Fermi-level density of states	2.993	states/eV/cell

***

Here is a relaxed structure of BaEr2Hg from the Alexandria database. Energies are from PBE-GGA.

CIF file:
```
data_BaEr2Hg
_chemical_formula_sum 'Ba3 Er6 Hg3'
_space_group_name_H-M_alt 'R -3 m'
_space_group_IT_number 166
_space_group_name_Hall '-R 3 2"'
_cell_length_a 3.6599
_cell_length_b 3.6599
_cell_length_c 35.5077
_cell_angle_alpha 90.00
_cell_angle_beta 90.00
_cell_angle_gamma 120.00
loop_
_atom_site_label
_atom_site_type_symbol
_atom_site_fract_x
_atom_site_fract_y
_atom_site_fract_z
_atom_site_occupancy
Ba1 Ba 0.0000 0.0000 0.0000 1
Er1 Er 0.0000 0.0000 0.1023 1
Hg1 Hg 0.0000 0.0000 0.5000 1
```

formation energy from the elements	0.082	eV/atom
Fermi-level density of states	11.881	states/eV/cell

***

Here is a relaxed structure of Ba3ErHg4 from the Alexandria database. Energies are from PBE-GGA.

CIF file:
```
data_Ba3ErHg4
_chemical_formula_sum 'Ba3 Er1 Hg4'
_space_group_name_H-M_alt 'P 4/m m m'
_space_group_IT_number 123
_space_group_name_Hall '-P 4 2'
_cell_length_a 4.0060
_cell_length_b 4.0060
_cell_length_c 16.6740
_cell_angle_alpha 90.00
_cell_angle_beta 90.00
_cell_angle_gamma 90.00
loop_
_atom_site_label
_atom_site_type_symbol
_atom_site_fract_x
_atom_site_fract_y
_atom_site_fract_z
_atom_site_occupancy
Ba1 Ba 0.0000 0.0000 0.0000 1
Ba2 Ba 0.0000 0.0000 0.2653 1
Er1 Er 0.0000 0.0000 0.5000 1
Hg1 Hg 0.5000 0.5000 0.1312 1
Hg2 Hg 0.5000 0.5000 0.4034 1
```

formation energy from the elements	-0.478	eV/atom
Fermi-level density of states	3.649	states/eV/cell